Record 1
Entry from Alexandria: an optimized crystal structure of YGeRu (PBE). Values from VASP.

Structure (Quantum ESPRESSO input):
```
&SYSTEM
  ibrav = 0, nat = 6, ntyp = 3
/
ATOMIC_SPECIES
Ge 72.64 Ge.upf
Y 88.91 Y.upf
Ru 101.07 Ru.upf
ATOMIC_POSITIONS crystal
Ge 0.0022 0.2583 0.2801
Y 0.9297 0.7946 0.8163
Ru 0.2269 0.1457 0.6674
Ru 0.2269 0.6457 0.1674
Y 0.5240 0.4969 0.5184
Ge 0.4515 0.0332 0.0547
CELL_PARAMETERS angstrom
7.4004 -0.0021 -0.0025
1.2063 4.0450 0.0002
1.2074 -0.3608 4.0286
```

E_tot: -7.5285 eV per atom
density of states at the Fermi level: 1.44 states/eV/f.u.

Record 2
Entry from Alexandria: an optimized crystal structure of TlCd3Hg3 (PBE). Values from VASP.

Structure (Quantum ESPRESSO input):
```
&SYSTEM
  ibrav = 0, nat = 14, ntyp = 3
/
ATOMIC_SPECIES
Hg 200.59 Hg.upf
Tl 204.38 Tl.upf
Cd 112.41 Cd.upf
ATOMIC_POSITIONS crystal
Hg 0.5000 0.7500 0.0000
Tl 0.0000 0.0000 0.0000
Cd 0.0000 0.7500 0.5000
Cd 0.5000 0.0000 0.7500
Hg 0.0000 0.5000 0.2500
Cd 0.0000 0.2500 0.5000
Tl 0.5000 0.5000 0.5000
Hg 0.2500 0.0000 0.5000
Hg 0.0000 0.5000 0.7500
Cd 0.7500 0.5000 0.0000
Hg 0.7500 0.0000 0.5000
Hg 0.5000 0.2500 0.0000
Cd 0.2500 0.5000 0.0000
Cd 0.5000 0.0000 0.2500
CELL_PARAMETERS angstrom
-1.0720 7.7824 1.5612
1.2240 -1.3944 7.7916
7.8425 1.2814 -1.0027
```

energy relative to the lowest polymorph listed for this composition: 223 meV/atom
density of states at the Fermi level: 3.64 states/eV/f.u.

Record 3
Entry from Alexandria: an optimized crystal structure of AcDySi2 (PBE). Values from VASP.

Structure (Quantum ESPRESSO input):
```
&SYSTEM
  ibrav = 0, nat = 4, ntyp = 3
/
ATOMIC_SPECIES
Dy 162.50 Dy.upf
Ac 227.00 Ac.upf
Si 28.09 Si.upf
ATOMIC_POSITIONS crystal
Dy 0.5000 0.5000 0.5000
Ac 0.0000 0.0000 0.0000
Si 0.7704 0.7704 0.6888
Si 0.2296 0.2296 0.3112
CELL_PARAMETERS angstrom
-4.6033 0.8717 -0.0589
-2.7356 -1.6212 3.4412
-1.5617 4.6242 4.1269
```

formation energy (no corrections): -0.42 eV per atom
energy relative to the lowest polymorph listed for this composition: 167 meV/atom
density of states at the Fermi level: 2.70 states/eV/f.u.